# Sr2Zn2Cu3

A relaxed Sr2Zn2Cu3 crystal (PBE, Alexandria via LeMat-Bulk).

Properties
The calculation puts the formation energy at -0.75 eV/f.u. The calculation puts the density at 5.5 g cm⁻³. The value obtained for the density of states at the Fermi level is 0.50 states/eV per atom.

Lattice parameters (Å, degrees): 4.133 6.002 7.360 117.09 90.00 110.14
Sites, in units of the cell vectors:
Sr 0.865 0.730 0.246
Sr 0.135 0.270 0.754
Zn 0.872 0.744 0.798
Zn 0.128 0.256 0.202
Cu 0.500 0.000 0.000
Cu 0.665 0.329 0.422
Cu 0.335 0.671 0.578

# CsTlAu2Br5

A relaxed CsTlAu2Br5 crystal (PBE, Alexandria via LeMat-Bulk).

Properties
The calculation puts the density at 6.1 g cm⁻³. The value obtained for the density of states at the Fermi level is 0.23 states/eV per atom. As for the formation energy (no corrections): -637.5 meV/atom.

Lattice parameters (Å, degrees): 5.313 5.313 10.940 90.00 90.00 90.00
Sites, in units of the cell vectors:
Cs 0.000 0.000 0.500
Tl 0.000 0.000 0.000
Au 0.500 0.500 0.232
Au 0.500 0.500 0.768
Br 0.000 0.500 0.204
Br 0.500 0.000 0.204
Br 0.000 0.500 0.796
Br 0.500 0.000 0.796
Br 0.500 0.500 0.500

# Li4AcPt3O12

A relaxed Li4AcPt3O12 crystal (PBE, Alexandria via LeMat-Bulk).

Properties
The calculation puts the density at 7.5 g cm⁻³. The value obtained for the density of states at the Fermi level is 0.43 states/eV per atom. As for the formation energy (no corrections): -1019.1 meV/atom.

Lattice parameters (Å, degrees): 6.658 6.658 6.658 109.47 109.47 109.47
Sites, in units of the cell vectors:
Li 0.500 0.000 0.000
Li 0.500 0.500 0.500
Li 0.000 0.500 0.000
Li 0.000 0.000 0.500
Ac 0.000 0.000 0.000
Pt 0.000 0.500 0.500
Pt 0.500 0.500 0.000
Pt 0.500 0.000 0.500
O 0.319 0.832 0.151
O 0.681 0.168 0.849
O 0.681 0.832 0.513
O 0.849 0.681 0.168
O 0.832 0.151 0.319
O 0.168 0.487 0.319
O 0.487 0.319 0.168
O 0.168 0.849 0.681
O 0.319 0.168 0.487
O 0.151 0.319 0.832
O 0.832 0.513 0.681
O 0.513 0.681 0.832

# Cr3GaRe

A relaxed Cr3GaRe crystal (PBE, Alexandria via LeMat-Bulk).

Properties
The calculation puts the formation energy at 8.20 eV/f.u. The calculation puts the density at 8.2 g cm⁻³. The value obtained for the density of states at the Fermi level is 1.53 states/eV per atom.

Lattice parameters (Å, degrees): 4.373 4.373 4.373 90.00 90.00 90.00
Sites, in units of the cell vectors:
Re 0.500 0.500 0.500
Ga 0.000 0.000 0.000
Cr 0.000 0.500 0.000
Cr 0.000 0.000 0.500
Cr 0.500 0.000 0.000

# B4C

A relaxed B4C crystal (PBE, Alexandria via LeMat-Bulk).

Properties
The calculation puts the formation energy at 2.23 eV/f.u. The calculation puts the density at 2.1 g cm⁻³. The value obtained for the density of states at the Fermi level is 0.11 states/eV per atom.

Lattice parameters (Å, degrees): 5.207 5.207 7.876 125.29 125.29 30.23
Sites, in units of the cell vectors:
B 0.016 0.016 0.030
B 0.178 0.178 0.013
B 0.222 0.222 0.837
B 0.384 0.384 0.820
B 0.593 0.593 0.777
B 0.595 0.595 0.322
B 0.805 0.805 0.528
B 0.807 0.807 0.073
C 0.397 0.397 0.628
C 0.003 0.003 0.222

# CaGdSi4

A relaxed CaGdSi4 crystal (PBE, Alexandria via LeMat-Bulk).

Properties
The calculation puts the density at 4.7 g cm⁻³. The value obtained for the density of states at the Fermi level is 0.76 states/eV per atom. As for the formation energy (no corrections): -293.4 meV/atom.

Lattice parameters (Å, degrees): 5.364 5.364 5.364 60.00 60.00 60.00
Sites, in units of the cell vectors:
Ca 0.000 0.000 0.000
Gd 0.250 0.250 0.250
Si 0.625 0.625 0.125
Si 0.625 0.125 0.625
Si 0.625 0.625 0.625
Si 0.125 0.625 0.625

# Mg3TaRh4

A relaxed Mg3TaRh4 crystal (PBE, Alexandria via LeMat-Bulk).

Properties
The calculation puts the formation energy at -4.88 eV/f.u. The calculation puts the density at 8.9 g cm⁻³. The value obtained for the density of states at the Fermi level is 0.45 states/eV per atom.

Lattice parameters (Å, degrees): 3.198 4.435 8.748 90.00 90.00 90.00
Sites, in units of the cell vectors:
Mg 0.500 0.000 0.257
Mg 0.500 0.500 0.500
Mg 0.500 0.000 0.743
Rh 0.000 0.000 0.500
Rh 0.000 0.500 0.764
Rh 0.000 0.000 0.000
Rh 0.000 0.500 0.236
Ta 0.500 0.500 0.000

# CaTlSi2

A relaxed CaTlSi2 crystal (PBE, Alexandria via LeMat-Bulk).

Properties
The calculation puts the density at 5.5 g cm⁻³. The value obtained for the density of states at the Fermi level is 0.52 states/eV per atom. As for the formation energy (no corrections): 173.4 meV/atom.

Lattice parameters (Å, degrees): 5.291 5.291 3.322 90.00 90.00 103.43
Sites, in units of the cell vectors:
Ca 0.000 0.500 0.500
Si 0.000 0.000 0.000
Si 0.500 0.500 0.000
Tl 0.500 0.000 0.500

# PtAu

A relaxed PtAu crystal (PBE, Alexandria via LeMat-Bulk).

Properties
The calculation puts the formation energy at 0.04 eV/f.u. The calculation puts the density at 19.4 g cm⁻³. The value obtained for the density of states at the Fermi level is 1.01 states/eV per atom.

Lattice parameters (Å, degrees): 2.837 2.837 8.349 90.00 90.00 90.00
Sites, in units of the cell vectors:
Au 0.000 0.000 0.993
Au 0.500 0.500 0.257
Pt 0.000 0.000 0.507
Pt 0.500 0.500 0.743

# NdInNi

A relaxed NdInNi crystal (PBE, Alexandria via LeMat-Bulk).

Properties
The calculation puts the formation energy at -0.98 eV/f.u. The calculation puts the density at 7.2 g cm⁻³. The value obtained for the density of states at the Fermi level is 0.84 states/eV per atom.

Lattice parameters (Å, degrees): 4.413 4.413 9.046 104.08 90.00 120.00
Sites, in units of the cell vectors:
Nd 0.749 0.497 0.246
Nd 0.251 0.503 0.754
In 0.500 0.000 0.500
In 0.000 0.000 0.000
Ni 0.142 0.285 0.427
Ni 0.858 0.715 0.573

# BeTe2S

A relaxed BeTe2S crystal (PBE, Alexandria via LeMat-Bulk).

Properties
The calculation puts the density at 4.8 g cm⁻³. The value obtained for the density of states at the Fermi level is 0.70 states/eV per atom. As for the formation energy (no corrections): 253.7 meV/atom.

Lattice parameters (Å, degrees): 8.079 8.079 8.079 27.95 27.95 27.95
Sites, in units of the cell vectors:
Be 0.500 0.500 0.500
S 0.000 0.000 0.000
Te 0.892 0.892 0.892
Te 0.108 0.108 0.108

# InCo2Rh

A relaxed InCo2Rh crystal (PBE, Alexandria via LeMat-Bulk).

Properties
The calculation puts the formation energy at 0.28 eV/f.u. The calculation puts the density at 9.8 g cm⁻³. The value obtained for the density of states at the Fermi level is 1.78 states/eV per atom.

Lattice parameters (Å, degrees): 4.629 4.629 4.629 130.05 130.19 73.22
Sites, in units of the cell vectors:
Co 0.000 0.000 0.000
Co 0.250 0.750 0.500
In 0.500 0.500 0.000
Rh 0.750 0.250 0.500

no.,M_tot (μB/cell),electronic total energy (eV/atom)
1,0.0,-2.707
2,0.0,-2.653
3,6.7,-5.488
4,4.9,-7.230
5,0.0,-6.740
6,6.9,-6.589
7,0.0,-6.365
8,0.0,-3.630
9,0.0,-4.638
10,0.0,-4.755
11,0.0,-3.281
12,3.5,-6.005